Entry 1:
BeAsPd2 (PBE-GGA, relaxed); N(E_F) = 0.85 states/eV/cell; total DFT energy (no corrections) = -20.16 eV per formula unit; space group = P4/mmm; offset from the most stable computed form = 0.000 eV/atom
1.0
2.862 0.000 0.000
0.000 2.862 0.000
0.000 0.000 6.839
Be As Pd
1 1 2
Cartesian
0.000 0.000 0.000
0.000 0.000 3.419
1.431 1.431 1.387
1.431 1.431 5.452

---

Entry 2:
BeAsPd3 (PBE-GGA, relaxed); N(E_F) = 1.92 states/eV/cell; total DFT energy (no corrections) = -24.07 eV per formula unit; space group = Pm-3m; offset from the most stable computed form = 0.333 eV/atom
1.0
4.262 0.000 0.000
0.000 4.262 0.000
0.000 0.000 4.262
Be As Pd
1 1 3
Cartesian
0.000 0.000 0.000
2.131 2.131 2.131
0.000 0.000 2.131
0.000 2.131 0.000
2.131 0.000 0.000

---

Entry 3:
BeAsPd2 (PBE-GGA, relaxed); N(E_F) = 3.85 states/eV/cell; total DFT energy (no corrections) = -20.04 eV per formula unit; space group = R3m; offset from the most stable computed form = 0.032 eV/atom
1.0
3.774 0.000 0.000
-1.887 3.269 0.000
0.000 0.000 14.450
Be As Pd
3 3 6
Cartesian
0.000 0.000 0.000
0.000 2.179 9.633
1.887 1.090 4.817
0.000 0.000 2.450
0.000 2.179 12.083
1.887 1.090 7.266
0.000 0.000 5.781
0.000 0.000 8.747
0.000 2.179 0.965
0.000 2.179 3.931
1.887 1.090 10.598
1.887 1.090 13.564

---

Entry 4:
BeAsPd2 (PBE-GGA, relaxed); N(E_F) = 5.30 states/eV/cell; total DFT energy (no corrections) = -19.71 eV per formula unit; space group = Fm-3m; offset from the most stable computed form = 0.113 eV/atom
1.0
6.075 0.000 0.000
0.000 6.075 0.000
0.000 0.000 6.075
Be As Pd
4 4 8
Cartesian
0.000 0.000 0.000
0.000 3.038 3.038
3.038 0.000 3.038
3.038 3.038 0.000
0.000 0.000 3.038
0.000 3.038 0.000
3.038 0.000 0.000
3.038 3.038 3.038
1.519 1.519 1.519
1.519 1.519 4.556
1.519 4.556 1.519
1.519 4.556 4.556
4.556 1.519 1.519
4.556 1.519 4.556
4.556 4.556 1.519
4.556 4.556 4.556

---

Entry 5:
BeAs2Pd6 (PBE-GGA, relaxed); N(E_F) = 6.08 states/eV/cell; total DFT energy (no corrections) = -47.15 eV per formula unit; space group = P2_1/c
1.0
5.401 0.000 0.000
0.000 6.731 0.000
-4.671 0.000 7.546
Be As Pd
2 4 12
Cartesian
0.000 0.000 0.000
-2.336 3.366 3.773
-2.477 0.808 5.687
-0.141 2.557 1.914
0.871 4.174 5.632
3.206 5.923 1.859
-1.576 1.160 3.352
-3.911 2.205 7.125
-0.415 4.636 3.323
-2.751 5.460 7.096
0.955 0.258 1.975
-1.381 3.108 5.748
2.110 3.623 1.798
-0.225 6.473 5.571
3.480 1.271 0.450
1.145 2.095 4.223
4.641 4.526 0.421
2.305 5.571 4.194

---

Entry 6:
Be2AsPd (PBE-GGA, relaxed); N(E_F) = 5.64 states/eV/cell; total DFT energy (no corrections) = -16.96 eV per formula unit; space group = I-42d
1.0
3.916 0.000 0.000
0.000 3.916 0.000
0.000 0.000 14.703
Be As Pd
8 4 4
Cartesian
0.952 0.979 1.838
0.979 2.911 5.514
0.979 2.964 12.866
1.006 0.979 9.190
2.911 2.937 9.190
2.937 0.952 12.866
2.937 1.006 5.514
2.964 2.937 1.838
0.000 0.000 7.352
0.000 1.958 11.028
1.958 0.000 3.676
1.958 1.958 0.000
0.000 0.000 0.000
0.000 1.958 3.676
1.958 0.000 11.028
1.958 1.958 7.352

---

Entry 7:
BeAs3Pd (PBE-GGA, relaxed); N(E_F) = 2.50 states/eV/cell; total DFT energy (no corrections) = -20.55 eV per formula unit; space group = Pm-3m; offset from the most stable computed form = 0.000 eV/atom
1.0
4.440 0.000 0.000
0.000 4.440 0.000
0.000 0.000 4.440
Be As Pd
1 3 1
Cartesian
0.000 0.000 0.000
0.000 0.000 2.220
0.000 2.220 0.000
2.220 0.000 0.000
2.220 2.220 2.220

---

Entry 8:
BeAsPd5 (PBE-GGA, relaxed); N(E_F) = 7.49 states/eV/cell; total DFT energy (no corrections) = -35.09 eV per formula unit; space group = C2/c
1.0
4.762 -4.190 0.000
4.762 4.190 0.000
-4.710 0.000 5.771
Be As Pd
2 2 10
Cartesian
1.229 4.178 4.328
3.584 -4.178 1.443
4.762 0.000 0.000
2.407 0.000 2.885
-1.303 0.499 3.712
3.692 2.163 0.111
1.052 -0.499 0.827
1.229 1.739 4.328
3.477 2.163 2.774
1.337 -2.163 2.997
3.584 -1.739 1.443
3.761 0.499 4.944
1.122 -2.163 5.659
6.117 -0.499 2.058

---

> What is the formula in the third record?

BeAsPd2